(1)
Here is a relaxed CuBiP2O8 crystal from Alexandria via LeMat-Bulk. Energies are from PBE.

a = 5.180 Å, b = 5.180 Å, c = 6.632 Å
α = 90.00°, β = 90.00°, γ = 120.00°
Site moments in Bohr magnetons follow the coordinates.
Positions (direct):
O: 0.665 0.833 0.798  0.11
O: 0.335 0.167 0.202  0.11
O: 0.167 0.335 0.798  0.11
O: 0.333 0.667 0.499  0.18
O: 0.667 0.333 0.501  0.18
O: 0.833 0.665 0.202  0.11
O: 0.833 0.167 0.202  0.11
O: 0.167 0.833 0.798  0.11
P: 0.667 0.333 0.268  0.00
P: 0.333 0.667 0.732  0.00
Bi: 0.000 0.000 0.500  -0.02
Cu: 0.000 0.000 0.000  0.91

Calculated values
- E above lowest polymorph (meV/atom) = 73
- ΔE_f (raw) (eV/f.u.) = -18.74
- calculated total energy (eV/atom) = -6.433
- calculated volume (A^3/atom) = 12.84

=====

(2)
Here is a relaxed CuBiP2O8 crystal from Alexandria via LeMat-Bulk. Energies are from PBE.

a = 6.196 Å, b = 5.458 Å, c = 10.735 Å
α = 82.13°, β = 90.00°, γ = 90.00°
Positions (direct):
O: 0.557 0.776 0.664
O: 0.250 0.794 0.377
O: 0.250 0.081 0.543
O: 0.250 0.357 0.036
O: 0.057 0.224 0.336
O: 0.750 0.206 0.623
O: 0.551 0.786 0.150
O: 0.051 0.214 0.850
O: 0.250 0.633 0.834
O: 0.750 0.919 0.457
O: 0.750 0.367 0.166
O: 0.750 0.643 0.964
O: 0.449 0.214 0.850
O: 0.443 0.224 0.336
O: 0.949 0.786 0.150
O: 0.943 0.776 0.664
P: 0.250 0.353 0.893
P: 0.750 0.647 0.107
P: 0.750 0.939 0.599
P: 0.250 0.061 0.401
Bi: 0.250 0.571 0.205
Bi: 0.750 0.429 0.795
Cu: 0.250 0.821 0.674
Cu: 0.750 0.179 0.326

Calculated values
- E above lowest polymorph (meV/atom) = 0
- ΔE_f (raw) (eV/f.u.) = -19.61
- calculated total energy (eV/atom) = -6.506
- calculated volume (A^3/atom) = 14.98

=====

(3)
Here is a relaxed CuBiP2O crystal from Alexandria via LeMat-Bulk. Energies are from PBE.

a = 5.304 Å, b = 5.304 Å, c = 4.102 Å
α = 90.00°, β = 90.00°, γ = 90.00°
Positions (direct):
P: 0.000 0.500 0.000
P: 0.500 0.000 0.000
Bi: 0.000 0.000 0.000
O: 0.000 0.000 0.500
Cu: 0.500 0.500 0.500

Calculated values
- E above lowest polymorph (meV/atom) = 700
- ΔE_f (raw) (eV/f.u.) = 5.14
- calculated total energy (eV/atom) = -3.723
- calculated volume (A^3/atom) = 23.08